Compound: PrBi2Au
Source: Alexandria
Functional: PBE
Structure: optimized geometry

Lattice parameters (Å, degrees): 10.8480 10.8480 10.8480 19.56 19.56 19.56
With the nearest neighbours (Å) after each atom.
Fractional positions:
1 Pr 0.0000 0.0000 0.0000  2 Bi 3.27
2 Bi 0.1024 0.1024 0.1024  3 Au 2.95, 1 Pr 3.27
3 Bi 0.8976 0.8976 0.8976  3 Au 2.95, 1 Pr 3.27
4 Au 0.5000 0.5000 0.5000  6 Bi 2.95

Results
Calculated total energy ... -15.6 eV per formula unit
Symmetry ... R-3m (166)
Volume ... 125.18 Å³/f.u.